(1)
First-principles (GGA-PBE) data for Tl4In2Hg5 after structural relaxation, as listed in the Alexandria database.

a b c (Å): 3.7174 10.1389 9.9596
angles (deg): 120.43 90.00 90.00
Sites, in units of the cell vectors:
1 Tl 0.5000 0.7604 0.5105
2 Tl 0.5000 0.2318 0.0085
3 Tl 0.5000 0.7682 0.9915
4 Tl 0.5000 0.2396 0.4895
5 In 0.0000 0.1296 0.6857
6 In 0.0000 0.8704 0.3143
7 Hg 0.0000 0.5000 0.0000
8 Hg 0.0000 0.4555 0.3232
9 Hg 0.0000 0.5445 0.6768
10 Hg 0.0000 0.9088 0.8174
11 Hg 0.0000 0.0912 0.1826

The value obtained for the energy above the most stable polymorph in this dataset is 0.025 eV per atom. The energy of formation is 34 kJ/mol of formula units. The value obtained for the density of states at the Fermi level is 6.0 states/eV/f.u. The total magnetic moment is 0.000 μB/f.u. For the volume, the calculation gives 323.7 Å³/f.u. The space group is P2/m (10).

=====

(2)
First-principles (GGA-PBE) data for Tl2In4Hg9 after structural relaxation, as listed in the Alexandria database.

a b c (Å): 3.5020 7.2028 17.5157
angles (deg): 104.04 89.83 106.42
Sites, in units of the cell vectors:
1 Hg 0.0000 0.0000 0.5000
2 Hg 0.6744 0.3425 0.0385
3 Hg 0.9997 0.9961 0.0931
4 Hg 0.0003 0.0039 0.9069
5 Hg 0.6580 0.3230 0.4296
6 Hg 0.3256 0.6575 0.9615
7 Hg 0.3420 0.6770 0.5704
8 Hg 0.0031 0.0293 0.6990
9 Hg 0.9969 0.9707 0.3010
10 Tl 0.6525 0.3297 0.2352
11 Tl 0.3475 0.6703 0.7648
12 In 0.3461 0.6874 0.1606
13 In 0.6539 0.3126 0.8394
14 In 0.6680 0.3284 0.6195
15 In 0.3320 0.6716 0.3805

The energy of formation is 9 kJ/mol of formula units. The value obtained for the density of states at the Fermi level is 5.0 states/eV/f.u. The total magnetic moment is 0.000 μB/f.u. For the volume, the calculation gives 410.1 Å³/f.u. The space group is P-1 (2).

=====

(3)
First-principles (GGA-PBE) data for TlIn2Hg4 after structural relaxation, as listed in the Alexandria database.

a b c (Å): 5.0157 5.0157 9.7732
angles (deg): 75.13 75.13 60.00
Sites, in units of the cell vectors:
1 Hg 0.6132 0.6132 0.1605
2 Hg 0.8647 0.8647 0.4060
3 Hg 0.3868 0.3868 0.8395
4 Hg 0.1353 0.1353 0.5940
5 In 0.2454 0.2454 0.2639
6 In 0.7546 0.7546 0.7361
7 Tl 0.0000 0.0000 0.0000

The value obtained for the energy above the most stable polymorph in this dataset is 0.000 eV per atom. The energy of formation is 3 kJ/mol of formula units. The value obtained for the density of states at the Fermi level is 1.3 states/eV/f.u. The total magnetic moment is 0.000 μB/f.u. For the volume, the calculation gives 203.4 Å³/f.u. The space group is R-3m (166).

=====

(4)
First-principles (GGA-PBE) data for TlIn2Hg4 after structural relaxation, as listed in the Alexandria database.

a b c (Å): 5.8855 5.8855 8.5809
angles (deg): 110.06 110.06 90.00
Sites, in units of the cell vectors:
1 Hg 0.0000 0.5000 0.0000
2 Hg 0.7969 0.7969 0.5937
3 Hg 0.5000 0.0000 0.0000
4 Hg 0.2031 0.2031 0.4063
5 In 0.6006 0.6006 0.2011
6 In 0.3994 0.3994 0.7989
7 Tl 0.0000 0.0000 0.0000

The value obtained for the energy above the most stable polymorph in this dataset is 0.173 eV per atom. The energy of formation is 120 kJ/mol of formula units. The value obtained for the density of states at the Fermi level is 4.1 states/eV/f.u. The total magnetic moment is 0.000 μB/f.u. For the volume, the calculation gives 259.9 Å³/f.u. The space group is I4/mmm (139).

=====

(5)
First-principles (GGA-PBE) data for Tl6InHg6 after structural relaxation, as listed in the Alexandria database.

a b c (Å): 6.5079 6.5079 10.6579
angles (deg): 90.00 90.00 120.06
Sites, in units of the cell vectors:
1 Tl 0.0000 0.0000 0.6616
2 Tl 0.3334 0.6666 0.0000
3 Tl 0.6666 0.3334 0.0000
4 Tl 0.6666 0.3334 0.5000
5 Tl 0.3334 0.6666 0.5000
6 Tl 0.0000 0.0000 0.3384
7 Hg 0.5000 0.0000 0.2475
8 Hg 0.5000 0.5000 0.7525
9 Hg 0.0000 0.5000 0.7525
10 Hg 0.0000 0.5000 0.2475
11 Hg 0.5000 0.0000 0.7525
12 Hg 0.5000 0.5000 0.2475
13 In 0.0000 0.0000 0.0000

The energy of formation is 67 kJ/mol of formula units. The value obtained for the density of states at the Fermi level is 6.2 states/eV/f.u. The total magnetic moment is 0.000 μB/f.u. For the volume, the calculation gives 390.7 Å³/f.u. The space group is P6/mmm (191).

=====

(6)
First-principles (GGA-PBE) data for Tl12InHg7 after structural relaxation, as listed in the Alexandria database.

a b c (Å): 8.7493 8.7493 8.7493
angles (deg): 104.60 104.60 104.60
Sites, in units of the cell vectors:
1 Tl 0.6903 0.6425 0.9192
2 Tl 0.7447 0.4642 0.2308
3 Tl 0.3097 0.3575 0.0808
4 Tl 0.2308 0.7447 0.4642
5 Tl 0.3575 0.0808 0.3097
6 Tl 0.4642 0.2308 0.7447
7 Tl 0.5358 0.7692 0.2553
8 Tl 0.0808 0.3097 0.3575
9 Tl 0.2553 0.5358 0.7692
10 Tl 0.9192 0.6903 0.6425
11 Tl 0.7692 0.2553 0.5358
12 Tl 0.6425 0.9192 0.6903
13 In 0.0000 0.0000 0.0000
14 Hg 0.6796 0.0613 0.1140
15 Hg 0.9387 0.8860 0.3204
16 Hg 0.0613 0.1140 0.6796
17 Hg 0.3204 0.9387 0.8860
18 Hg 0.8860 0.3204 0.9387
19 Hg 0.5000 0.5000 0.5000
20 Hg 0.1140 0.6796 0.0613

The energy of formation is 17 kJ/mol of formula units. The value obtained for the density of states at the Fermi level is 9.7 states/eV/f.u. The total magnetic moment is 0.000 μB/f.u. For the volume, the calculation gives 590.6 Å³/f.u. The space group is R-3 (148).

=====

(7)
First-principles (GGA-PBE) data for TlIn3Hg10 after structural relaxation, as listed in the Alexandria database.

a b c (Å): 10.6108 10.6111 10.6111
angles (deg): 60.00 60.00 60.00
Sites, in units of the cell vectors:
1 In 0.7127 0.2873 0.7127
2 In 0.7127 0.2873 0.2873
3 In 0.2873 0.7127 0.7127
4 In 0.2873 0.7127 0.2873
5 In 0.7127 0.7127 0.2873
6 In 0.2873 0.2873 0.7127
7 Hg 0.6329 0.1013 0.6329
8 Hg 0.0000 0.3433 0.0000
9 Hg 0.3433 0.0000 0.0000
10 Hg 0.0000 0.0000 0.3433
11 Hg 0.3671 0.8987 0.3671
12 Hg 0.6567 0.3433 0.0000
13 Hg 0.3671 0.3671 0.8987
14 Hg 0.1013 0.6329 0.6329
15 Hg 0.0000 0.0000 0.6567
16 Hg 0.6329 0.6329 0.1013
17 Hg 0.0000 0.3433 0.6567
18 Hg 0.6567 0.0000 0.3433
19 Hg 0.8987 0.3671 0.3671
20 Hg 0.3671 0.3671 0.3671
21 Hg 0.0000 0.6567 0.0000
22 Hg 0.3433 0.6567 0.0000
23 Hg 0.0000 0.6567 0.3433
24 Hg 0.3433 0.0000 0.6567
25 Hg 0.6567 0.0000 0.0000
26 Hg 0.6329 0.6329 0.6329
27 Tl 0.7500 0.7500 0.7500
28 Tl 0.2500 0.2500 0.2500

The energy of formation is 61 kJ/mol of formula units. The value obtained for the density of states at the Fermi level is 6.6 states/eV/f.u. The total magnetic moment is 0.000 μB/f.u. For the volume, the calculation gives 422.4 Å³/f.u. The space group is Fm-3m (225).

=====

(8)
First-principles (GGA-PBE) data for TlIn4Hg after structural relaxation, as listed in the Alexandria database.

a b c (Å): 6.2736 6.2736 6.2736
angles (deg): 60.00 60.00 60.00
Sites, in units of the cell vectors:
1 In 0.6251 0.1246 0.6251
2 In 0.6251 0.6251 0.1246
3 In 0.1246 0.6251 0.6251
4 In 0.6251 0.6251 0.6251
5 Tl 0.2500 0.2500 0.2500
6 Hg 0.0000 0.0000 0.0000

The value obtained for the energy above the most stable polymorph in this dataset is 0.052 eV per atom. The energy of formation is 41 kJ/mol of formula units. The value obtained for the density of states at the Fermi level is 2.7 states/eV/f.u. The total magnetic moment is 0.000 μB/f.u. For the volume, the calculation gives 174.6 Å³/f.u. The space group is F-43m (216).

=====

Sequential density output: 10.52; 10.82; 10.10; 7.90; 10.82; 11.17; 10.04; 8.22 g cm⁻³